[1]
The following is a GGA-PBE calculation of a geometry-optimized Ac2Ag9Pb structure, from the Alexandria database.

Cell lengths 5.8575, 5.8575, 9.9756 Å; angles 72.93, 72.93, 60.00 degrees
Positions (direct):
Ac 0.8642 0.8642 0.4073
Ac 0.1358 0.1358 0.5927
Ag 0.6666 0.6666 0.0001
Ag 0.3334 0.3334 0.9999
Ag 0.5000 0.5000 0.5000
Ag 0.4161 0.4161 0.2467
Ag 0.9212 0.4161 0.2467
Ag 0.4161 0.9212 0.2467
Ag 0.5839 0.5839 0.7533
Ag 0.5839 0.0788 0.7533
Ag 0.0788 0.5839 0.7533
Pb 0.0000 0.0000 0.0000

Calculated values
**Total energy**: -3.23 eV/atom
**Formation enthalpy at 0 K**: -0.096 eV per atom

---

[2]
The following is a GGA-PBE calculation of a geometry-optimized Ac3Ag2Pb structure, from the Alexandria database.

Cell lengths 3.8986, 3.8986, 12.8655 Å; angles 90.00, 90.00, 90.00 degrees
Positions (direct):
Ac 0.0000 0.0000 0.0000
Ac 0.0000 0.0000 0.6842
Ac 0.0000 0.0000 0.3158
Ag 0.5000 0.5000 0.8454
Ag 0.5000 0.5000 0.1546
Pb 0.5000 0.5000 0.5000

Calculated values
**Total energy**: -3.94 eV/atom
**Formation enthalpy at 0 K**: -0.314 eV per atom

---

[3]
The following is a GGA-PBE calculation of a geometry-optimized AcAgPb structure, from the Alexandria database.

Cell lengths 3.8184, 3.8184, 6.7189 Å; angles 106.51, 106.51, 90.00 degrees
Positions (direct):
Pb 0.6896 0.6896 0.3792
Ac 0.9877 0.9877 0.9755
Ag 0.3226 0.3226 0.6453

Calculated values
**Total energy**: -3.77 eV/atom
**Formation enthalpy at 0 K**: -0.210 eV per atom

---

[4]
The following is a GGA-PBE calculation of a geometry-optimized Ac2Ag3Pb2 structure, from the Alexandria database.

Cell lengths 4.6271, 8.0854, 11.1913 Å; angles 90.00, 101.93, 90.00 degrees
Positions (direct):
Ac 0.1547 0.2500 0.3094
Ac 0.8453 0.7500 0.6906
Ac 0.9468 0.2500 0.8935
Ac 0.0532 0.7500 0.1065
Ag 0.2228 0.7500 0.4457
Ag 0.7772 0.2500 0.5543
Ag 0.5548 0.4223 0.1097
Ag 0.4452 0.5777 0.8903
Ag 0.4452 0.9223 0.8903
Ag 0.5548 0.0777 0.1097
Pb 0.6815 0.9470 0.3630
Pb 0.3185 0.0530 0.6370
Pb 0.3185 0.4470 0.6370
Pb 0.6815 0.5530 0.3630

Calculated values
**Total energy**: -3.71 eV/atom
**Formation enthalpy at 0 K**: -0.255 eV per atom

---

[5]
The following is a GGA-PBE calculation of a geometry-optimized Ac4AgPb2 structure, from the Alexandria database.

Cell lengths 5.7157, 5.7157, 9.9167 Å; angles 106.75, 106.75, 90.00 degrees
Positions (direct):
Pb 0.6308 0.6308 0.2617
Pb 0.3692 0.3692 0.7383
Ac 0.8168 0.8168 0.6336
Ac 0.1832 0.1832 0.3664
Ac 0.0000 0.5000 0.0000
Ac 0.5000 0.0000 0.0000
Ag 0.0000 0.0000 0.0000

Calculated values
**Total energy**: -3.94 eV/atom
**Formation enthalpy at 0 K**: -0.125 eV per atom

---

[6]
The following is a GGA-PBE calculation of a geometry-optimized Ac4AgPb structure, from the Alexandria database.

Cell lengths 6.5649, 9.4698, 9.0026 Å; angles 114.30, 101.51, 108.29 degrees
Positions (direct):
Ac 0.0678 0.2169 0.8356
Ac 0.7655 0.7018 0.6258
Ac 0.2679 0.6187 0.8356
Ac 0.3603 0.9241 0.6258
Ac 0.6397 0.0759 0.3742
Ac 0.7321 0.3813 0.1644
Ac 0.2345 0.2982 0.3742
Ac 0.9322 0.7831 0.1644
Ag 0.2514 0.0014 0.0028
Ag 0.7486 0.9986 0.9972
Pb 0.3672 0.6172 0.2345
Pb 0.6328 0.3828 0.7655

Calculated values
**Total energy**: -4.05 eV/atom
**Formation enthalpy at 0 K**: -0.218 eV per atom

---

[7]
The following is a GGA-PBE calculation of a geometry-optimized Ac3Ag4Pb4 structure, from the Alexandria database.

Cell lengths 4.9788, 7.7012, 9.4381 Å; angles 114.08, 105.29, 90.00 degrees
Positions (direct):
Ac 0.1321 0.1321 0.2643
Ac 0.8679 0.8679 0.7357
Ac 0.0000 0.5000 0.0000
Ag 0.3321 0.1435 0.6642
Ag 0.6679 0.4793 0.3358
Ag 0.6679 0.8565 0.3358
Ag 0.3321 0.5207 0.6642
Pb 0.2172 0.7172 0.4345
Pb 0.7828 0.2828 0.5655
Pb 0.5000 0.8019 0.0000
Pb 0.5000 0.1981 0.0000

Calculated values
**Total energy**: -3.89 eV/atom
**Formation enthalpy at 0 K**: -0.389 eV per atom

---

[8]
The following is a GGA-PBE calculation of a geometry-optimized AcAg4Pb2 structure, from the Alexandria database.

Cell lengths 6.7076, 6.7076, 6.7076 Å; angles 103.40, 103.40, 122.45 degrees
Positions (direct):
Ac 0.0000 0.0000 0.0000
Ag 0.7249 0.5000 0.2249
Ag 0.5000 0.7249 0.2249
Ag 0.5000 0.2751 0.7751
Ag 0.2751 0.5000 0.7751
Pb 0.2500 0.7500 0.5000
Pb 0.7500 0.2500 0.5000

Calculated values
**Total energy**: -3.03 eV/atom
**Formation enthalpy at 0 K**: 0.250 eV per atom

---

[9]
The following is a GGA-PBE calculation of a geometry-optimized AcAgPb2 structure, from the Alexandria database.

Cell lengths 5.5369, 5.5369, 5.5369 Å; angles 60.00, 60.00, 60.00 degrees
Positions (direct):
Pb 0.2500 0.2500 0.2500
Pb 0.7500 0.7500 0.7500
Ac 0.5000 0.5000 0.5000
Ag 0.0000 0.0000 0.0000

Calculated values
**Total energy**: -3.78 eV/atom
**Formation enthalpy at 0 K**: -0.183 eV per atom

---

[10]
The following is a GGA-PBE calculation of a geometry-optimized Ac5Ag2Pb structure, from the Alexandria database.

Cell lengths 8.9129, 8.9129, 9.6140 Å; angles 117.62, 117.62, 90.00 degrees
Positions (direct):
Ac 0.5112 0.6975 0.7087
Ac 0.8025 0.9888 0.2913
Ac 0.0000 0.0000 0.0000
Ac 0.5000 0.5000 0.0000
Ac 0.1975 0.0112 0.7087
Ac 0.6975 0.1975 0.7087
Ac 0.0112 0.5112 0.7087
Ac 0.3025 0.8025 0.2913
Ac 0.9888 0.4888 0.2913
Ac 0.4888 0.3025 0.2913
Ag 0.1314 0.3686 0.0000
Ag 0.6314 0.1314 0.0000
Ag 0.3686 0.8686 0.0000
Ag 0.8686 0.6314 0.0000
Pb 0.7500 0.7500 0.5000
Pb 0.2500 0.2500 0.5000

Calculated values
**Total energy**: -4.01 eV/atom
**Formation enthalpy at 0 K**: -0.269 eV per atom

---

[11]
The following is a GGA-PBE calculation of a geometry-optimized Ac12Ag2Pb5 structure, from the Alexandria database.

Cell lengths 8.2736, 10.3630, 10.5174 Å; angles 100.92, 90.00, 113.53 degrees
Positions (direct):
Ac 0.9878 0.9755 0.1744
Ac 0.0825 0.6694 0.9004
Ac 0.5869 0.6694 0.9004
Ac 0.0965 0.7049 0.4231
Ac 0.6084 0.7049 0.4231
Ac 0.4903 0.9806 0.7093
Ac 0.5097 0.0194 0.2907
Ac 0.9035 0.2951 0.5769
Ac 0.3916 0.2951 0.5769
Ac 0.9175 0.3306 0.0996
Ac 0.4131 0.3306 0.0996
Ac 0.0122 0.0245 0.8256
Ag 0.6693 0.0000 0.0000
Ag 0.3307 0.0000 0.0000
Pb 0.2982 0.5964 0.6362
Pb 0.3219 0.6438 0.1597
Pb 0.0000 0.0000 0.5000
Pb 0.6781 0.3562 0.8403
Pb 0.7018 0.4036 0.3638

Calculated values
**Total energy**: -4.09 eV/atom
**Formation enthalpy at 0 K**: -0.218 eV per atom

---

[12]
The following is a GGA-PBE calculation of a geometry-optimized Ac4AgPb3 structure, from the Alexandria database.

Cell lengths 4.8262, 4.8364, 12.4840 Å; angles 90.00, 90.00, 90.00 degrees
Positions (direct):
Ac 0.5000 0.5000 0.3574
Ac 0.0000 0.5000 0.8712
Ac 0.0000 0.0000 0.1332
Ac 0.5000 0.0000 0.6382
Ag 0.5000 0.5000 0.0786
Pb 0.0000 0.5000 0.5931
Pb 0.0000 0.0000 0.4084
Pb 0.5000 0.0000 0.9198

Calculated values
**Total energy**: -4.26 eV/atom
**Formation enthalpy at 0 K**: -0.455 eV per atom

---

[13]
The following is a GGA-PBE calculation of a geometry-optimized Ac8AgPb2 structure, from the Alexandria database.

Cell lengths 5.5854, 7.6083, 10.9030 Å; angles 102.80, 104.84, 90.00 degrees
Positions (direct):
Ac 0.4089 0.5272 0.8178
Ac 0.6529 0.9963 0.3058
Ac 0.7894 0.6709 0.5787
Ac 0.9828 0.2271 0.9656
Ac 0.2106 0.3291 0.4213
Ac 0.3471 0.0037 0.6942
Ac 0.5911 0.4728 0.1822
Ac 0.0172 0.7729 0.0344
Ag 0.5000 0.0000 0.0000
Pb 0.8162 0.2357 0.6323
Pb 0.1838 0.7643 0.3677

Calculated values
**Total energy**: -4.12 eV/atom
**Formation enthalpy at 0 K**: -0.201 eV per atom

---

[14]
The following is a GGA-PBE calculation of a geometry-optimized AcAgPb2 structure, from the Alexandria database.

Cell lengths 4.8423, 4.8423, 10.6295 Å; angles 95.54, 95.54, 89.59 degrees
Positions (direct):
Ac 0.3047 0.3047 0.7596
Ac 0.6953 0.6953 0.2404
Ag 0.2057 0.2057 0.3253
Ag 0.7943 0.7943 0.6747
Pb 0.7834 0.7834 0.9409
Pb 0.7483 0.2517 0.5000
Pb 0.2166 0.2166 0.0591
Pb 0.2517 0.7483 0.5000

Calculated values
**Total energy**: -3.90 eV/atom
**Formation enthalpy at 0 K**: -0.303 eV per atom

---

[15]
The following is a GGA-PBE calculation of a geometry-optimized Ac2AgPb2 structure, from the Alexandria database.

Cell lengths 4.9652, 6.6496, 11.0187 Å; angles 88.39, 76.98, 68.08 degrees
Positions (direct):
Ac 0.6776 0.3112 0.3336
Ac 0.9245 0.2604 0.8907
Ac 0.3224 0.6888 0.6664
Ac 0.0755 0.7396 0.1093
Ag 0.6233 0.0915 0.6619
Ag 0.3767 0.9085 0.3381
Pb 0.0879 0.2609 0.5634
Pb 0.6466 0.8230 0.8838
Pb 0.9121 0.7391 0.4366
Pb 0.3534 0.1770 0.1162

Calculated values
**Total energy**: -4.15 eV/atom
**Formation enthalpy at 0 K**: -0.457 eV per atom

---

[16]
The following is a GGA-PBE calculation of a geometry-optimized AcAgPb2 structure, from the Alexandria database.

Cell lengths 4.9320, 4.9352, 4.9352 Å; angles 90.00, 90.00, 90.00 degrees
Positions (direct):
Pb 0.0000 0.0000 0.5000
Pb 0.0000 0.5000 0.0000
Ac 0.5000 0.5000 0.5000
Ag 0.5000 0.0000 0.0000

Calculated values
**Total energy**: -3.90 eV/atom
**Formation enthalpy at 0 K**: -0.302 eV per atom

---

[17]
The following is a GGA-PBE calculation of a geometry-optimized Ac4AgPb2 structure, from the Alexandria database.

Cell lengths 5.0626, 9.6980, 8.7365 Å; angles 137.05, 106.84, 90.00 degrees
Positions (direct):
Ac 0.9186 0.2073 0.8373
Ac 0.0814 0.7927 0.1627
Ac 0.6831 0.2894 0.3661
Ac 0.3169 0.7106 0.6339
Ag 0.0000 0.0000 0.0000
Pb 0.6412 0.6247 0.2824
Pb 0.3588 0.3753 0.7176

Calculated values
**Total energy**: -4.17 eV/atom
**Formation enthalpy at 0 K**: -0.355 eV per atom

---

[18]
The following is a GGA-PBE calculation of a geometry-optimized Ac6AgPb5 structure, from the Alexandria database.

Cell lengths 5.5638, 8.9560, 8.8826 Å; angles 90.00, 72.07, 90.00 degrees
Positions (direct):
Pb 0.6669 0.5000 0.6649
Pb 0.3410 0.0000 0.3206
Pb 0.0000 0.5000 0.0000
Pb 0.6590 0.0000 0.6794
Pb 0.3331 0.5000 0.3351
Ac 0.8344 0.7571 0.3326
Ac 0.8344 0.2429 0.3326
Ac 0.5000 0.2438 0.0000
Ac 0.5000 0.7562 0.0000
Ac 0.1656 0.7571 0.6674
Ac 0.1656 0.2429 0.6674
Ag 0.0000 0.0000 0.0000

Calculated values
**Total energy**: -4.28 eV/atom
**Formation enthalpy at 0 K**: -0.445 eV per atom

---

[19]
The following is a GGA-PBE calculation of a geometry-optimized Ac3AgPd8Pb2 structure, from the Alexandria database.

Cell lengths 5.6727, 5.6727, 11.1642 Å; angles 90.00, 90.00, 120.00 degrees
Positions (direct):
Ac 0.3333 0.6667 0.5848
Ac 0.6667 0.3333 0.4152
Ac 0.0000 0.0000 0.0000
Ag 0.0000 0.0000 0.5000
Pd 0.3333 0.6667 0.8510
Pd 0.6667 0.3333 0.1490
Pd 0.1632 0.8368 0.2941
Pd 0.8368 0.1632 0.7059
Pd 0.1632 0.3263 0.2941
Pd 0.8368 0.6737 0.7059
Pd 0.6737 0.8368 0.2941
Pd 0.3263 0.1632 0.7059
Pb 0.3333 0.6667 0.1005
Pb 0.6667 0.3333 0.8995

Calculated values
**Total energy**: -5.11 eV/atom
**Formation enthalpy at 0 K**: -0.530 eV per atom

---

[20]
The following is a GGA-PBE calculation of a geometry-optimized AcAgPd4Pb2 structure, from the Alexandria database.

Cell lengths 4.6603, 4.6603, 9.6086 Å; angles 75.97, 75.97, 60.00 degrees
Positions (direct):
Ac 0.0000 0.0000 0.0000
Ag 0.5000 0.5000 0.5000
Pd 0.3983 0.3983 0.8052
Pd 0.8680 0.8680 0.3961
Pd 0.1320 0.1320 0.6039
Pd 0.6017 0.6017 0.1948
Pb 0.7627 0.7627 0.7119
Pb 0.2373 0.2373 0.2881

Calculated values
**Total energy**: -4.78 eV/atom
**Formation enthalpy at 0 K**: -0.382 eV per atom

---

[21]
The following is a GGA-PBE calculation of a geometry-optimized AcAgPdPb structure, from the Alexandria database.

Cell lengths 5.2272, 5.2272, 5.2272 Å; angles 60.00, 60.00, 60.00 degrees
Positions (direct):
Pb 0.0000 0.0000 0.0000
Ac 0.5000 0.5000 0.5000
Pd 0.2500 0.2500 0.2500
Ag 0.7500 0.7500 0.7500

Calculated values
**Total energy**: -4.39 eV/atom
**Formation enthalpy at 0 K**: -0.425 eV per atom

---

[22]
The following is a GGA-PBE calculation of a geometry-optimized AcAgPdPb structure, from the Alexandria database.

Cell lengths 4.3397, 4.3397, 11.5564 Å; angles 90.00, 90.00, 90.00 degrees
Positions (direct):
Ac 0.0000 0.5000 0.8231
Ac 0.5000 0.0000 0.1769
Ag 0.0000 0.0000 0.5000
Ag 0.5000 0.5000 0.5000
Pd 0.5000 0.0000 0.9133
Pd 0.0000 0.5000 0.0867
Pb 0.0000 0.5000 0.3339
Pb 0.5000 0.0000 0.6661

Calculated values
**Total energy**: -4.26 eV/atom
**Formation enthalpy at 0 K**: -0.298 eV per atom

---

[23]
The following is a GGA-PBE calculation of a geometry-optimized AcAgPd2Pb2 structure, from the Alexandria database.

Cell lengths 5.4836, 5.4836, 6.8775 Å; angles 113.49, 113.49, 90.00 degrees
Positions (direct):
Ac 0.5000 0.5000 0.0000
Ag 0.0000 0.0000 0.0000
Pd 0.7650 0.7650 0.5300
Pd 0.2350 0.2350 0.4700
Pb 0.2500 0.7500 0.5000
Pb 0.7500 0.2500 0.5000

Calculated values
**Total energy**: -4.26 eV/atom
**Formation enthalpy at 0 K**: -0.132 eV per atom

---

In order of appearance, density of states at the Fermi level = 5.1, 7.2, 2.2, 4.5, 6.3, 7.7, 3.2, 3.8, 0.6, 10.4, 23.8, 6.5, 11.6, 0.7, 4.0, 1.5, 7.8, 8.8, 7.8, 4.2, 2.6, 2.8, 4.1 states/eV/f.u..